CeTm2Mg (GGA-PBE, optimized geometry); distance to the lowest polymorph of the same formula = 57 meV/atom; energy of formation from the pure elements = 0.0683 eV/atom; crystal system = trigonal
1.0
-1.0103 -2.8018 -1.6936
-0.8506 -2.8331 1.7287
-11.2722 1.6426 0.5411
Ce Tm Mg
1 2 1
direct
0.5001 0.5001 0.4997
0.0805 0.0805 0.7586
0.2529 0.2529 0.2414
0.6666 0.6666 0.0003



KLiIrCl6 (GGA-PBE, optimized geometry); total DFT energy (no corrections) = -65.45 eV per cell; crystal system = trigonal
1.0
-6.4409 -0.2504 0.2570
3.0223 -0.4755 -5.6792
0.5953 -13.8037 1.4725
Ir Cl Li K
2 12 2 2
direct
0.6667 0.3333 0.2500
0.3333 0.6667 0.7500
0.0268 0.6477 0.8470
0.0268 0.3791 0.6530
0.6209 0.6477 0.6530
0.6477 0.6209 0.1530
0.6209 0.9732 0.8470
0.6477 0.0268 0.3470
0.3523 0.9732 0.6530
0.3791 0.3523 0.3470
0.9732 0.3523 0.1530
0.3523 0.3791 0.8470
0.3791 0.0268 0.1530
0.9732 0.6209 0.3470
0.3333 0.6667 0.2500
0.6667 0.3333 0.7500
0.0000 0.0000 0.0000
0.0000 0.0000 0.5000